Record 1
DFT (GGA-PBE) results for crystalline PrNdCuRh at its relaxed geometry.

Crystal system: cubic
Energy above the most stable polymorph in this dataset, eV/f.u.: 0.25
Space group: No. 216
Calculated formation energy, kJ/mol of formula units: -151

abc: 5.0665 5.0665 5.0665
angles: 60.00 60.00 60.00
Atoms (fractional coordinates):
Pr (0.0000, 0.0000, 0.0000)
Nd (0.5000, 0.5000, 0.5000)
Cu (0.7500, 0.7500, 0.7500)
Rh (0.2500, 0.2500, 0.2500)


Record 2
DFT (GGA-PBE) results for crystalline PrNdCuRh at its relaxed geometry.

Crystal system: orthorhombic
Energy above the most stable polymorph in this dataset, eV/f.u.: 0.00
Space group: No. 38
Calculated formation energy, kJ/mol of formula units: -175

abc: 4.4802 5.7160 5.7160
angles: 40.55 90.00 90.00
Atoms (fractional coordinates):
Pr (0.0000, 0.0000, 0.0000)
Nd (0.5000, 0.7240, 0.7240)
Cu (0.5000, 0.4337, 0.4337)
Rh (0.0000, 0.2807, 0.2807)


Record 3
DFT (GGA-PBE) results for crystalline PrNdCuRu at its relaxed geometry.

Crystal system: orthorhombic
Energy above the most stable polymorph in this dataset, eV/f.u.: 0.00
Space group: No. 38
Calculated formation energy, kJ/mol of formula units: -67

abc: 4.3587 5.7468 5.7468
angles: 40.88 90.00 90.00
Atoms (fractional coordinates):
Pr (0.0000, 0.0000, 0.0000)
Nd (0.5000, 0.2799, 0.2799)
Cu (0.5000, 0.5724, 0.5724)
Ru (0.0000, 0.7158, 0.7158)


Record 4
DFT (GGA-PBE) results for crystalline PrNdCuRu at its relaxed geometry.

Crystal system: cubic
Energy above the most stable polymorph in this dataset, eV/f.u.: 0.09
Space group: No. 216
Calculated formation energy, kJ/mol of formula units: -58

abc: 5.0351 5.0351 5.0351
angles: 60.00 60.00 60.00
Atoms (fractional coordinates):
Pr (0.0000, 0.0000, 0.0000)
Nd (0.5000, 0.5000, 0.5000)
Cu (0.7500, 0.7500, 0.7500)
Ru (0.2500, 0.2500, 0.2500)


Record 5
DFT (GGA-PBE) results for crystalline Pr2NdCuS5 at its relaxed geometry.

Crystal system: orthorhombic
Space group: No. 36
E_form (uncorrected), eV per formula unit: -15.45

abc: 8.9118 8.9118 11.7237
angles: 90.00 90.00 154.24
Atoms (fractional coordinates):
Pr (0.1065, 0.8935, 0.5000)
Pr (0.1175, 0.8825, 0.1281)
Pr (0.8825, 0.1175, 0.6281)
Pr (0.8935, 0.1065, 0.0000)
Nd (0.1946, 0.8054, 0.8255)
Nd (0.8054, 0.1946, 0.3255)
Cu (0.4433, 0.5567, 0.2678)
Cu (0.5567, 0.4433, 0.7678)
S (0.0404, 0.9596, 0.8712)
S (0.2918, 0.7082, 0.4969)
S (0.3204, 0.6796, 0.1592)
S (0.3587, 0.6413, 0.8176)
S (0.4985, 0.5015, 0.5925)
S (0.5015, 0.4985, 0.0925)
S (0.6413, 0.3587, 0.3176)
S (0.6796, 0.3204, 0.6592)
S (0.7082, 0.2918, 0.9969)
S (0.9596, 0.0404, 0.3712)


Record 6
DFT (GGA-PBE) results for crystalline PrNd2CuS5 at its relaxed geometry.

Crystal system: orthorhombic
Space group: No. 36
E_form (uncorrected), eV per formula unit: -15.32

abc: 9.0363 9.0363 11.5924
angles: 90.00 90.00 154.72
Atoms (fractional coordinates):
Pr (0.1958, 0.8042, 0.5000)
Pr (0.8042, 0.1958, 0.0000)
Nd (0.1029, 0.8971, 0.1739)
Nd (0.1147, 0.8853, 0.8015)
Nd (0.8853, 0.1147, 0.3015)
Nd (0.8971, 0.1029, 0.6739)
Cu (0.4416, 0.5584, 0.9429)
Cu (0.5584, 0.4416, 0.4429)
S (0.0420, 0.9580, 0.5484)
S (0.2935, 0.7065, 0.1764)
S (0.3245, 0.6755, 0.8304)
S (0.3597, 0.6403, 0.4924)
S (0.4982, 0.5018, 0.2680)
S (0.5018, 0.4982, 0.7680)
S (0.6403, 0.3597, 0.9924)
S (0.6755, 0.3245, 0.3304)
S (0.7065, 0.2935, 0.6764)
S (0.9580, 0.0420, 0.0483)


Record 7
DFT (GGA-PBE) results for crystalline PrNdCuSb at its relaxed geometry.

Crystal system: cubic
Space group: No. 216
E_form (uncorrected), eV per formula unit: -2.04

abc: 5.3184 5.3184 5.3184
angles: 60.00 60.00 60.00
Atoms (fractional coordinates):
Pr (0.0000, 0.0000, 0.0000)
Nd (0.5000, 0.5000, 0.5000)
Cu (0.7500, 0.7500, 0.7500)
Sb (0.2500, 0.2500, 0.2500)


Record 8
DFT (GGA-PBE) results for crystalline Pr2NdCuSe5 at its relaxed geometry.

Crystal system: orthorhombic
Space group: No. 36
E_form (uncorrected), eV per formula unit: -14.22

abc: 9.2928 9.2928 12.2477
angles: 90.00 90.00 154.33
Atoms (fractional coordinates):
Pr (0.1074, 0.8926, 0.5000)
Pr (0.1188, 0.8812, 0.1262)
Pr (0.8812, 0.1188, 0.6262)
Pr (0.8926, 0.1074, 0.0000)
Nd (0.1940, 0.8060, 0.8255)
Nd (0.8060, 0.1940, 0.3255)
Cu (0.4371, 0.5629, 0.2691)
Cu (0.5629, 0.4371, 0.7691)
Se (0.0410, 0.9590, 0.8750)
Se (0.2898, 0.7102, 0.4963)
Se (0.3179, 0.6821, 0.1573)
Se (0.3591, 0.6409, 0.8166)
Se (0.4994, 0.5006, 0.5945)
Se (0.5006, 0.4994, 0.0945)
Se (0.6409, 0.3591, 0.3166)
Se (0.6821, 0.3179, 0.6573)
Se (0.7102, 0.2898, 0.9963)
Se (0.9590, 0.0410, 0.3750)


Record 9
DFT (GGA-PBE) results for crystalline PrNdCu2Se4 at its relaxed geometry.

Crystal system: orthorhombic
Space group: No. 23
E_form (uncorrected), eV per formula unit: -8.64

abc: 6.3484 6.3484 6.3484
angles: 113.39 112.93 102.32
Atoms (fractional coordinates):
Pr (0.0000, 0.0000, 0.0000)
Nd (0.5000, 0.5000, 0.0000)
Cu (0.3405, 0.8405, 0.5000)
Cu (0.6595, 0.1595, 0.5000)
Se (0.0627, 0.0331, 0.5055)
Se (0.4724, 0.9669, 0.0296)
Se (0.5276, 0.5572, 0.4945)
Se (0.9373, 0.4428, 0.9704)


Record 10
DFT (GGA-PBE) results for crystalline PrNd2CuSe5 at its relaxed geometry.

Crystal system: orthorhombic
Space group: No. 36
E_form (uncorrected), eV per formula unit: -14.07

abc: 9.3522 9.3522 12.1747
angles: 90.00 90.00 154.60
Atoms (fractional coordinates):
Pr (0.1942, 0.8058, 0.5000)
Pr (0.8058, 0.1942, 0.0000)
Nd (0.1056, 0.8944, 0.1736)
Nd (0.1169, 0.8831, 0.8001)
Nd (0.8831, 0.1169, 0.3001)
Nd (0.8944, 0.1056, 0.6736)
Cu (0.4371, 0.5629, 0.9436)
Cu (0.5629, 0.4371, 0.4436)
Se (0.0409, 0.9591, 0.5505)
Se (0.2909, 0.7091, 0.1746)
Se (0.3207, 0.6793, 0.8291)
Se (0.3598, 0.6402, 0.4911)
Se (0.4991, 0.5009, 0.2689)
Se (0.5009, 0.4991, 0.7689)
Se (0.6402, 0.3598, 0.9911)
Se (0.6793, 0.3207, 0.3291)
Se (0.7091, 0.2909, 0.6746)
Se (0.9591, 0.0409, 0.0505)


Record 11
DFT (GGA-PBE) results for crystalline PrNdCu2Si2 at its relaxed geometry.

Crystal system: trigonal
Space group: No. 164
E_form (uncorrected), eV per formula unit: -3.65

abc: 4.2270 4.2270 7.9705
angles: 90.00 90.00 120.00
Atoms (fractional coordinates):
Pr (0.0000, 0.0000, 0.0000)
Nd (0.0000, 0.0000, 0.5000)
Cu (0.3333, 0.6667, 0.7472)
Cu (0.6667, 0.3333, 0.2528)
Si (0.3333, 0.6667, 0.2524)
Si (0.6667, 0.3333, 0.7476)


Record 12
DFT (GGA-PBE) results for crystalline PrNd2Cu2Si2 at its relaxed geometry.

Crystal system: trigonal
Space group: No. 166
E_form (uncorrected), eV per formula unit: -3.20

abc: 10.3483 10.3483 10.3483
angles: 23.75 23.75 23.75
Atoms (fractional coordinates):
Pr (0.0000, 0.0000, 0.0000)
Nd (0.1258, 0.1258, 0.1258)
Nd (0.8742, 0.8742, 0.8742)
Cu (0.4004, 0.4004, 0.4004)
Cu (0.5996, 0.5996, 0.5996)
Si (0.2656, 0.2656, 0.2656)
Si (0.7344, 0.7344, 0.7344)


For each record above, in turn, the calculated density values are 8.15; 7.88; 7.93; 8.27; 5.33; 5.37; 7.34; 6.41; 6.21; 6.46; 6.31; 6.44 Mg/m³.
For each record above, in turn, the calculated raw total energy values are -5.64; -5.70; -5.90; -5.88; -6.06; -6.04; -4.95; -5.56; -5.04; -5.55; -5.37; -5.22 eV/atom.